NaCd3In5 | PBE | optimized geometry

a b c (Å): 9.206 9.206 9.421
angles (deg): 60.50 60.50 54.36
Fractional coordinates of all 18 atoms:
1 Na 0.153 0.153 0.625
2 Na 0.847 0.847 0.375
3 Cd 0.741 0.741 0.809
4 Cd 0.584 0.584 0.188
5 Cd 0.000 0.000 0.000
6 Cd 0.000 0.000 0.500
7 Cd 0.259 0.259 0.191
8 Cd 0.416 0.416 0.812
9 In 0.844 0.418 0.389
10 In 0.324 0.676 0.000
11 In 0.800 0.800 0.056
12 In 0.370 0.370 0.351
13 In 0.630 0.630 0.649
14 In 0.200 0.200 0.944
15 In 0.418 0.844 0.389
16 In 0.676 0.324 0.000
17 In 0.156 0.582 0.611
18 In 0.582 0.156 0.611

Relative energy among the computed polymorphs   0.121 eV per atom
Space-group type   C2/m (12)